[1]
Computed, not measured: an optimized crystal structure of Ta3Be at the PBE level of DFT.

* relative energy among the computed polymorphs: 75 kJ/mol of formula units
* size of the total moment: 0.0 Bohr magnetons per cell
* energy relative to the elements: 198 meV/atom

Cell and atoms, written as POSCAR:
```
Ta3Be
1.0
4.5628 2.6343 0.9205
-4.5628 2.6343 0.9205
0.0000 -5.2686 0.9205
Ta Be
3 1
Cartesian
-2.2814 -1.3172 0.9205
-2.2814 1.3172 1.8410
0.0000 2.6343 0.9205
0.0000 0.0000 0.0000
```

[2]
Computed, not measured: an optimized crystal structure of TaBe at the PBE level of DFT.

* relative energy among the computed polymorphs: 145 kJ/mol of formula units
* size of the total moment: 0.0 Bohr magnetons per cell
* energy relative to the elements: 566 meV/atom

Cell and atoms, written as POSCAR:
```
TaBe
1.0
2.2230 1.2835 3.3865
-2.2230 1.2835 3.3865
0.0000 -2.5669 3.3865
Ta Be
2 2
Cartesian
0.0000 0.0000 1.3287
0.0000 0.0000 8.8308
0.0000 0.0000 3.9504
0.0000 0.0000 6.2091
```

[3]
Computed, not measured: an optimized crystal structure of TaBe at the PBE level of DFT.

* relative energy among the computed polymorphs: 417 kJ/mol of formula units
* size of the total moment: 0.0 Bohr magnetons per cell
* energy relative to the elements: 1976 meV/atom

Cell and atoms, written as POSCAR:
```
TaBe
1.0
6.4457 0.0000 0.0000
0.0000 6.4457 0.0000
0.0000 0.0000 6.4457
Ta Be
6 6
Cartesian
0.0000 1.6114 3.2229
0.0000 4.8343 3.2229
1.6114 3.2229 0.0000
3.2229 0.0000 1.6114
3.2229 0.0000 4.8343
4.8343 3.2229 0.0000
0.0000 3.2229 1.6114
0.0000 3.2229 4.8343
1.6114 0.0000 3.2229
3.2229 1.6114 0.0000
3.2229 4.8343 0.0000
4.8343 0.0000 3.2229
```

[4]
Computed, not measured: an optimized crystal structure of TaBe at the PBE level of DFT.

* relative energy among the computed polymorphs: 95 kJ/mol of formula units
* size of the total moment: 0.0 Bohr magnetons per cell
* energy relative to the elements: 306 meV/atom

Cell and atoms, written as POSCAR:
```
TaBe
1.0
0.0000 2.4036 2.4036
2.4036 0.0000 2.4036
2.4036 2.4036 0.0000
Ta Be
1 1
Cartesian
0.0000 0.0000 0.0000
2.4036 2.4036 2.4036
```

[5]
Computed, not measured: an optimized crystal structure of Ta2Be at the PBE level of DFT.

* relative energy among the computed polymorphs: 174 kJ/mol of formula units
* size of the total moment: 0.0 Bohr magnetons per cell
* energy relative to the elements: 434 meV/atom

Cell and atoms, written as POSCAR:
```
Ta2Be
1.0
4.0401 0.0000 0.0000
0.0000 4.0401 0.0000
0.0000 0.0000 2.9978
Ta Be
2 1
Cartesian
0.0000 2.0200 0.0000
2.0200 0.0000 0.0000
0.0000 0.0000 1.4989
```

[6]
Computed, not measured: an optimized crystal structure of Ta2Be at the PBE level of DFT.

* relative energy among the computed polymorphs: 105 kJ/mol of formula units
* size of the total moment: 0.0 Bohr magnetons per cell
* energy relative to the elements: 197 meV/atom

Cell and atoms, written as POSCAR:
```
Ta2Be
1.0
-1.3915 1.3915 12.1248
1.3915 -1.3915 12.1248
1.3915 1.3915 -12.1248
Ta Be
4 2
Cartesian
1.3915 0.6957 1.3021
1.3915 0.6957 4.7603
0.0000 0.6957 7.3645
0.0000 0.6957 10.8227
1.3915 -0.6957 9.0936
0.0000 2.0872 3.0312
```

[7]
Computed, not measured: an optimized crystal structure of Ta3Be at the PBE level of DFT.

* relative energy among the computed polymorphs: 59 kJ/mol of formula units
* size of the total moment: 0.0 Bohr magnetons per cell
* energy relative to the elements: 155 meV/atom

Cell and atoms, written as POSCAR:
```
Ta3Be
1.0
-1.7632 4.2573 2.1860
1.7632 -4.2573 2.1860
1.7632 4.2573 -2.1860
Ta Be
3 1
Cartesian
0.0000 0.0000 0.0000
1.7632 2.2445 -0.0035
0.0000 2.0128 2.1825
0.0000 4.2573 0.0047
```

[8]
Computed, not measured: an optimized crystal structure of Ta2Be at the PBE level of DFT.

* relative energy among the computed polymorphs: 49 kJ/mol of formula units
* size of the total moment: 0.0 Bohr magnetons per cell
* energy relative to the elements: 0 meV/atom

Cell and atoms, written as POSCAR:
```
Ta2Be
1.0
4.4660 0.0000 0.0000
-2.2330 3.8676 0.0000
0.0000 0.0000 5.2944
Ta Be
4 2
Cartesian
0.0000 0.0000 0.0000
0.0000 0.0000 2.6472
0.0000 2.5784 1.3236
2.2330 1.2892 3.9708
0.0000 2.5784 3.9708
2.2330 1.2892 1.3236
```

[9]
Computed, not measured: an optimized crystal structure of TaBe at the PBE level of DFT.

* relative energy among the computed polymorphs: 0 kJ/mol of formula units
* size of the total moment: 0.0 Bohr magnetons per cell
* energy relative to the elements: -186 meV/atom

Cell and atoms, written as POSCAR:
```
TaBe
1.0
1.7228 -4.5807 0.0000
1.7228 4.5807 0.0000
0.0000 0.0000 3.3425
Ta Be
2 2
Cartesian
1.7228 3.2192 2.5069
1.7228 -3.2192 0.8356
1.7228 0.6191 2.5069
1.7228 -0.6191 0.8356
```

[10]
Computed, not measured: an optimized crystal structure of Ta5Be at the PBE level of DFT.

* relative energy among the computed polymorphs: 0 kJ/mol of formula units
* size of the total moment: 0.0 Bohr magnetons per cell
* energy relative to the elements: 75 meV/atom

Cell and atoms, written as POSCAR:
```
Ta5Be
1.0
5.1228 -1.7046 0.0000
5.1228 1.7046 0.0000
-1.7783 0.0000 5.8453
Ta Be
5 1
Cartesian
0.0000 0.0000 0.0000
3.1326 0.0000 1.0558
2.3494 0.0000 3.8523
6.1179 0.0000 1.9929
5.3346 0.0000 4.7894
-0.8892 0.0000 2.9226
```

[11]
Computed, not measured: an optimized crystal structure of Ta2Be at the PBE level of DFT.

* relative energy among the computed polymorphs: 136 kJ/mol of formula units
* size of the total moment: 0.0 Bohr magnetons per cell
* energy relative to the elements: 301 meV/atom

Cell and atoms, written as POSCAR:
```
Ta2Be
1.0
1.3786 -7.0336 0.0000
1.3786 7.0336 0.0000
0.0000 0.0000 4.8541
Ta Be
4 2
Cartesian
1.3786 6.3295 3.6406
1.3786 2.1191 3.6406
1.3786 -2.1191 1.2135
1.3786 -6.3295 1.2135
1.3786 2.7941 1.2135
1.3786 -2.7941 3.6406
```

[12]
Computed, not measured: an optimized crystal structure of Ta3Be at the PBE level of DFT.

* relative energy among the computed polymorphs: 27 kJ/mol of formula units
* size of the total moment: 0.0 Bohr magnetons per cell
* energy relative to the elements: 73 meV/atom

Cell and atoms, written as POSCAR:
```
Ta3Be
1.0
1.7895 -2.1608 0.0000
1.7895 2.1608 0.0000
0.0000 0.0000 8.3164
Ta Be
3 1
Cartesian
0.0000 0.0000 0.0000
1.7895 0.0000 2.3863
1.7895 0.0000 5.9301
0.0000 0.0000 4.1582
```